SrBeTe PBE relaxed; calculated total energy = -3.4554 eV/atom; raw formation energy = -175 kJ/mol of formula units; crystal system = orthorhombic; density of states at the Fermi level = 1.7 states/eV per cell; volume = 172.0 Å³/cell; energy above the most stable polymorph in this dataset = 0.05 eV per formula unit
1.0
-2.375 2.434 7.438
2.375 -2.434 7.438
2.375 2.434 -7.438
Sr Be Te
2 2 2
Direct
0.131 0.131 0.000
0.869 0.869 0.000
0.500 0.212 0.712
0.500 0.788 0.288
0.359 0.359 0.000
0.641 0.641 0.000

---

SrBeTe2 PBE relaxed; calculated total energy = -3.8213 eV/atom; raw formation energy = -347 kJ/mol of formula units; crystal system = tetragonal; density of states at the Fermi level = 0.0 states/eV per cell; volume = 239.7 Å³/cell
1.0
-3.727 3.727 4.313
3.727 -3.727 4.313
3.727 3.727 -4.313
Sr Be Te
2 2 4
Direct
0.000 0.000 0.000
0.750 0.250 0.500
0.250 0.750 0.500
0.500 0.500 0.000
0.214 0.625 0.089
0.375 0.464 0.589
0.536 0.125 0.911
0.875 0.786 0.411

---

SrBeTe PBE relaxed; calculated total energy = -3.0198 eV/atom; raw formation energy = -49 kJ/mol of formula units; crystal system = orthorhombic; density of states at the Fermi level = 1.0 states/eV per cell; volume = 78.6 Å³/cell; energy above the most stable polymorph in this dataset = 1.36 eV per formula unit
1.0
0.000 2.859 5.594
2.457 0.000 5.594
2.457 2.859 0.000
Sr Be Te
1 1 1
Direct
0.000 0.000 0.000
0.698 0.698 0.302
0.291 0.291 0.709

---

SrBe2Te PBE relaxed; calculated total energy = -2.6129 eV/atom; raw formation energy = 176 kJ/mol of formula units; crystal system = tetragonal; density of states at the Fermi level = 3.5 states/eV per cell; volume = 89.3 Å³/cell
1.0
-2.106 2.106 5.033
2.106 -2.106 5.033
2.106 2.106 -5.033
Sr Be Te
1 2 1
Direct
0.000 0.000 0.000
0.500 0.500 0.000
0.750 0.250 0.500
0.250 0.750 0.500

---

SrBe3Te PBE relaxed; calculated total energy = -2.2721 eV/atom; raw formation energy = 448 kJ/mol of formula units; crystal system = cubic; density of states at the Fermi level = 5.0 states/eV per cell; volume = 118.5 Å³/cell; energy above the most stable polymorph in this dataset = 0.00 eV per formula unit
1.0
4.911 0.000 0.000
0.000 4.911 0.000
0.000 0.000 4.911
Sr Be Te
1 3 1
Direct
0.000 0.000 0.000
0.000 0.500 0.500
0.500 0.000 0.500
0.500 0.500 0.000
0.500 0.500 0.500

---

SrBeTe2 PBE relaxed; calculated total energy = -3.1360 eV/atom; raw formation energy = -82 kJ/mol of formula units; crystal system = monoclinic; density of states at the Fermi level = 1.5 states/eV per cell; volume = 109.3 Å³/cell
1.0
3.444 -3.884 0.000
3.444 3.884 0.000
-0.043 0.000 4.084
Sr Be Te
1 1 2
Direct
0.000 0.000 0.000
0.500 0.500 0.000
0.000 0.500 0.500
0.500 0.000 0.500

---

SrBe2Te PBE relaxed; calculated total energy = -2.4913 eV/atom; raw formation energy = 223 kJ/mol of formula units; crystal system = cubic; density of states at the Fermi level = 3.2 states/eV per cell; volume = 95.8 Å³/cell
1.0
0.000 3.632 3.632
3.632 0.000 3.632
3.632 3.632 0.000
Sr Be Te
1 2 1
Direct
0.000 0.000 0.000
0.500 0.500 0.500
0.750 0.750 0.750
0.250 0.250 0.250

---

SrBeTe2 PBE relaxed; calculated total energy = -3.0731 eV/atom; raw formation energy = -58 kJ/mol of formula units; crystal system = tetragonal; density of states at the Fermi level = 3.0 states/eV per cell; volume = 113.5 Å³/cell
1.0
-2.932 2.932 3.301
2.932 -2.932 3.301
2.932 2.932 -3.301
Sr Be Te
1 1 2
Direct
0.000 0.000 0.000
0.500 0.500 0.000
0.250 0.750 0.500
0.750 0.250 0.500

---

SrBeTe2 PBE relaxed; calculated total energy = -3.0938 eV/atom; raw formation energy = -66 kJ/mol of formula units; crystal system = orthorhombic; density of states at the Fermi level = 1.2 states/eV per cell; volume = 111.8 Å³/cell
1.0
2.932 -2.937 0.000
2.932 2.937 0.000
0.000 0.000 6.489
Sr Be Te
1 1 2
Direct
0.000 0.000 0.000
0.000 0.000 0.500
0.500 0.500 0.262
0.500 0.500 0.738

---

SrBe2Te PBE relaxed; calculated total energy = -2.7882 eV/atom; raw formation energy = 108 kJ/mol of formula units; crystal system = tetragonal; density of states at the Fermi level = 0.3 states/eV per cell; volume = 190.2 Å³/cell
1.0
-3.911 3.911 3.109
3.911 -3.911 3.109
3.911 3.911 -3.109
Sr Be Te
2 4 2
Direct
0.000 0.000 0.000
0.750 0.250 0.500
0.188 0.625 0.063
0.375 0.438 0.563
0.562 0.125 0.937
0.875 0.812 0.437
0.250 0.750 0.500
0.500 0.500 0.000

---

Sr2BeTe PBE relaxed; calculated total energy = -2.8577 eV/atom; raw formation energy = -116 kJ/mol of formula units; crystal system = orthorhombic; density of states at the Fermi level = 2.7 states/eV per cell; volume = 120.3 Å³/cell; energy above the most stable polymorph in this dataset = 0.50 eV per formula unit
1.0
-1.981 2.562 5.922
1.981 -2.562 5.922
1.981 2.562 -5.922
Sr Be Te
2 1 1
Direct
0.000 0.000 0.000
0.720 0.220 0.500
0.267 0.767 0.500
0.414 0.414 0.000

---

Sr2BeTe PBE relaxed; calculated total energy = -2.7641 eV/atom; raw formation energy = -80 kJ/mol of formula units; crystal system = tetragonal; density of states at the Fermi level = 2.2 states/eV per cell; volume = 288.2 Å³/cell; energy above the most stable polymorph in this dataset = 0.88 eV per formula unit
1.0
-4.235 4.235 4.017
4.235 -4.235 4.017
4.235 4.235 -4.017
Sr Be Te
4 2 2
Direct
0.109 0.125 0.484
0.375 0.891 0.016
0.641 0.625 0.516
0.875 0.359 0.984
0.000 0.000 0.000
0.750 0.250 0.500
0.250 0.750 0.500
0.500 0.500 0.000